VASP calculation (PBE) on crystalline RbTcPtN2 at its relaxed geometry.

It has space group P4/mmm (No. 123), with a = 4.133 Å, b = 4.133 Å, c = 5.214 Å, α = 90.00°, β = 90.00° and γ = 90.00°. The distinct sites, in fractional coordinates, are Rb at (0.000, 0.000, 0.000), Tc at (0.000, 0.000, 0.500), Pt at (0.500, 0.500, 0.500) and N at (0.000, 0.500, 0.000).

The value obtained for the formation energy (no corrections) is 3.69 eV per atom. The calculation puts the magnetic moment at 0.00 μB/f.u.

***

VASP calculation (PBE) on crystalline Li2BeRu at its relaxed geometry.

It has space group Cmmm (No. 65), with a = 4.672 Å, b = 8.584 Å, c = 2.457 Å, α = 90.00°, β = 90.00° and γ = 90.00°. The distinct sites, in fractional coordinates, are Li at (0.250, 0.250, 0.000), Be at (0.000, 0.000, 0.500) and Ru at (0.000, 0.500, 0.500).

The calculation puts the magnetic moment at 0.00 μB/f.u. The formation energy comes out at 0.151 eV per atom.

***

VASP calculation (PBE) on crystalline CaTb2Pu at its relaxed geometry.

It has space group R3m (No. 160, hexagonal axes), with a = 3.5804 Å, b = 3.5804 Å, c = 35.2935 Å, α = 90.00°, β = 90.00° and γ = 120.00°. The distinct sites, in fractional coordinates, are Ca at (0.0000, 0.0000, 0.0000), Tb at (0.0000, 0.0000, 0.2448), Tb at (0.0000, 0.0000, 0.4227) and Pu at (0.0000, 0.0000, 0.8342).

The calculation puts the magnetic moment at 6.15 μB/f.u. As for the distance to the lowest polymorph of the same formula: 15 meV/atom. The formation energy comes out at 0.153 eV per atom.